# 1
A plane-wave DFT calculation with PBE-GGA was carried out for a relaxed structure of Y2Ho5Tm.

```
16
Lattice="6.590 0.000 0.000 3.288 8.150 0.000 0.919 -0.008 9.421" Properties=species:S:1:pos:R:3 pbc="T T T"
Y 1.256 0.894 0.723
Y 5.002 7.257 5.433
Y 5.795 0.885 3.988
Y 9.541 7.248 8.698
Ho 3.517 5.545 2.356
Ho 2.487 2.012 3.669
Ho 3.819 3.975 8.589
Ho 4.145 3.987 5.548
Ho 6.231 6.128 8.374
Ho 4.565 2.014 1.047
Ho 6.652 4.155 3.873
Ho 6.978 4.167 0.832
Ho 8.309 6.130 5.752
Ho 7.280 2.597 7.065
Tm 3.986 1.007 7.065
Tm 6.811 7.135 2.356
```

The density of states at the Fermi level comes out at 1.467 states/eV per atom. The value obtained for the total moment is 0.00 μB per formula unit. The energy is -78.08 eV for the cell shown. Its formation enthalpy at 0 K is 156 meV per atom. The space group is P-1.

# 2
A plane-wave DFT calculation with PBE-GGA was carried out for a relaxed structure of Tb2SmHoIn4.

```
8
Lattice="2.670 1.542 8.742 -2.670 1.542 8.742 0.000 -3.083 8.742" Properties=species:S:1:pos:R:3 pbc="T T T"
Tb 0.000 0.000 6.567
Tb 0.000 0.000 19.659
Sm 0.000 0.000 13.113
Ho 0.000 0.000 0.000
In 0.000 0.000 3.253
In 0.000 0.000 9.810
In 0.000 0.000 16.416
In 0.000 0.000 22.973
```

The density of states at the Fermi level comes out at 0.411 states/eV per atom. The value obtained for the total moment is 0.00 μB per formula unit. The energy is -33.30 eV for the cell shown. Its formation enthalpy at 0 K is -473 meV per atom. The space group is R-3m.

# 3
A plane-wave DFT calculation with PBE-GGA was carried out for a relaxed structure of CrPbS2.

```
4
Lattice="4.851 0.000 0.000 0.000 4.851 0.000 0.000 0.000 3.449" Properties=species:S:1:pos:R:3 pbc="T T T"
Cr 0.000 0.000 0.000
Pb 2.426 2.426 0.000
S 0.000 2.426 1.725
S 2.426 0.000 1.725
```

The energy relative to the elements, uncorrected comes out at 0.037 eV per atom. The density of states at the Fermi level comes out at 0.346 states/eV per atom. The value obtained for the total moment is 4.00 μB per formula unit. The energy is -21.44 eV for the cell shown. The space group is P4/mmm.

# 4
A plane-wave DFT calculation with PBE-GGA was carried out for a relaxed structure of SmPuP2.

```
4
Lattice="2.028 1.171 6.576 -2.028 1.171 6.576 0.000 -2.341 6.576" Properties=species:S:1:pos:R:3 pbc="T T T"
Sm 0.000 0.000 0.000
Pu 0.000 0.000 9.864
P 0.000 0.000 4.850
P 0.000 0.000 14.879
```

The density of states at the Fermi level comes out at 2.305 states/eV per atom. The value obtained for the total moment is 4.91 μB per formula unit. The energy is -35.32 eV for the cell shown. Its formation enthalpy at 0 K is -1361 meV per atom. The space group is R-3m.

# 5
A plane-wave DFT calculation with PBE-GGA was carried out for a relaxed structure of Dy2ThIr9.

```
12
Lattice="2.666 1.539 8.794 -2.666 1.539 8.794 0.000 -3.078 8.794" Properties=species:S:1:pos:R:3 pbc="T T T"
Dy 0.000 0.000 3.704
Dy 0.000 0.000 22.679
Th 0.000 0.000 0.000
Ir -1.332 -0.769 10.978
Ir 0.000 0.000 8.787
Ir 0.000 -1.538 15.405
Ir -1.332 0.769 15.405
Ir 0.000 0.000 13.192
Ir 1.332 -0.769 10.978
Ir 0.000 1.538 10.978
Ir 0.000 0.000 17.596
Ir 1.332 0.769 15.405
```

The density of states at the Fermi level comes out at 1.097 states/eV per atom. The value obtained for the total moment is 0.00 μB per formula unit. The energy is -104.07 eV for the cell shown. Its formation enthalpy at 0 K is -641 meV per atom. The space group is R-3m.

# 6
A plane-wave DFT calculation with PBE-GGA was carried out for a relaxed structure of MgZrF2.

```
8
Lattice="-2.582 2.582 4.971 2.582 -2.582 4.971 2.582 2.582 -4.971" Properties=species:S:1:pos:R:3 pbc="T T T"
Mg 0.000 0.000 0.000
Mg 0.000 2.582 2.485
Zr 2.582 0.000 2.485
Zr 0.000 0.000 4.971
F 3.872 0.854 -1.243
F 0.854 1.291 1.243
F -1.291 1.727 3.728
F 1.727 1.291 6.213
```

The energy relative to the elements, uncorrected comes out at -1.679 eV per atom. The density of states at the Fermi level comes out at 0.546 states/eV per atom. The value obtained for the total moment is 2.02 μB per formula unit. The energy is -41.20 eV for the cell shown. The space group is I-42d.

# 7
A plane-wave DFT calculation with PBE-GGA was carried out for a relaxed structure of CsN3F12.

```
32
Lattice="4.220 2.436 13.482 -4.220 2.436 13.482 0.000 -4.873 13.482" Properties=species:S:1:pos:R:3 pbc="T T T"
Cs 0.000 0.000 0.000
Cs 0.000 0.000 20.223
N -1.329 -2.482 17.127
N -2.735 -0.044 23.868
N -1.485 2.392 17.127
N 1.406 -2.346 23.868
N 2.814 0.090 17.127
N 1.329 2.391 23.868
F -2.710 1.271 9.946
F 0.254 -2.983 9.946
F -1.462 -2.316 19.421
F -1.510 -1.165 16.687
F -0.344 -2.963 16.204
F -2.394 1.780 16.204
F -2.945 -0.012 26.162
F -1.826 -0.657 22.945
F -2.765 1.270 23.421
F 0.282 -3.029 23.421
F -1.455 -1.166 30.162
F -1.274 2.424 19.421
F -0.254 1.890 16.687
F 1.764 -0.725 16.687
F 1.483 -2.545 26.162
F 2.456 1.712 9.946
F 1.481 -1.253 22.945
F 0.344 1.909 22.945
F 2.736 -0.108 19.421
F 2.738 1.183 16.204
F -0.282 1.843 30.162
F 1.737 -0.677 30.162
F 2.482 1.759 23.421
F 1.462 2.557 26.162
```

The energy relative to the elements, uncorrected comes out at -0.587 eV per atom. The density of states at the Fermi level comes out at 0.505 states/eV per atom. The value obtained for the total moment is 2.00 μB per formula unit. The energy is -115.35 eV for the cell shown. The space group is R3c.

# 8
A plane-wave DFT calculation with PBE-GGA was carried out for a relaxed structure of Sr2LaSb.

```
4
Lattice="3.990 0.000 0.000 0.000 3.990 0.000 0.000 0.000 10.079" Properties=species:S:1:pos:R:3 pbc="T T T"
Sr 0.000 0.000 1.920
Sr 0.000 0.000 8.159
La 1.995 1.995 5.039
Sb 1.995 1.995 0.000
```

The energy relative to the elements, uncorrected comes out at -0.339 eV per atom. The density of states at the Fermi level comes out at 1.064 states/eV per atom. The value obtained for the total moment is 0.00 μB per formula unit. The energy is -13.77 eV for the cell shown. The space group is P4/mmm.

# 9
A plane-wave DFT calculation with PBE-GGA was carried out for a relaxed structure of Dy4BiP3Rh12.

```
20
Lattice="-4.569 4.569 4.569 4.569 -4.569 4.569 4.569 4.569 -4.569" Properties=species:S:1:pos:R:3 pbc="T T T"
Dy 2.285 2.285 -2.285
Dy 2.285 -2.285 2.285
Dy -2.285 2.285 2.285
Dy 2.285 2.285 2.285
Bi 0.000 0.000 0.000
P 4.569 0.000 0.000
P 0.000 4.569 0.000
P 0.000 0.000 4.569
Rh 2.479 0.000 0.000
Rh 6.659 0.000 0.000
Rh 4.569 2.285 0.000
Rh 4.569 0.000 2.285
Rh 0.000 2.479 0.000
Rh 0.000 0.000 2.479
Rh 2.285 4.569 0.000
Rh 2.285 0.000 4.569
Rh 0.000 6.659 0.000
Rh 0.000 0.000 6.659
Rh 0.000 4.569 2.285
Rh 0.000 2.285 4.569
```

The density of states at the Fermi level comes out at 0.919 states/eV per atom. The value obtained for the total moment is 0.00 μB per formula unit. The energy is -135.24 eV for the cell shown. Its formation enthalpy at 0 K is -425 meV per atom. The space group is Im-3m.

# 10
A plane-wave DFT calculation with PBE-GGA was carried out for a relaxed structure of Pr3Ga3Ni2.

```
16
Lattice="2.093 -5.498 0.000 2.093 5.498 0.000 0.000 0.000 15.151" Properties=species:S:1:pos:R:3 pbc="T T T"
Pr 2.093 4.777 9.175
Pr 2.093 4.777 13.552
Pr 2.093 1.708 11.363
Pr 2.093 -1.708 3.788
Pr 2.093 -4.777 1.599
Pr 2.093 -4.777 5.976
Ga 2.093 1.739 8.148
Ga 2.093 1.739 14.578
Ga 2.093 1.544 3.788
Ga 2.093 -1.544 11.363
Ga 2.093 -1.739 0.573
Ga 2.093 -1.739 7.003
Ni 2.093 3.015 1.652
Ni 2.093 3.015 5.924
Ni 2.093 -3.015 9.227
Ni 2.093 -3.015 13.499
```

The density of states at the Fermi level comes out at 0.787 states/eV per atom. The value obtained for the total moment is 0.00 μB per formula unit. The energy is -78.46 eV for the cell shown. Its formation enthalpy at 0 K is -531 meV per atom. The space group is Cmcm.

# 11
A plane-wave DFT calculation with PBE-GGA was carried out for a relaxed structure of InAsIrSe2.

```
5
Lattice="5.253 0.000 0.000 0.000 5.253 0.000 0.000 0.000 4.630" Properties=species:S:1:pos:R:3 pbc="T T T"
In 0.000 0.000 0.000
As 2.626 2.626 0.000
Ir 2.626 2.626 2.315
Se 0.000 2.626 2.315
Se 2.626 0.000 2.315
```

The energy relative to the elements, uncorrected comes out at 0.298 eV per atom. The density of states at the Fermi level comes out at 1.314 states/eV per atom. The value obtained for the total moment is 0.00 μB per formula unit. The energy is -21.73 eV for the cell shown. The space group is P4/mmm.

# 12
A plane-wave DFT calculation with PBE-GGA was carried out for a relaxed structure of LiPrNdEr.

```
4
Lattice="0.000 3.956 3.956 3.956 0.000 3.956 3.956 3.956 0.000" Properties=species:S:1:pos:R:3 pbc="T T T"
Li 0.000 0.000 0.000
Pr 5.934 5.934 5.934
Nd 1.978 1.978 1.978
Er 3.956 3.956 3.956
```

The density of states at the Fermi level comes out at 1.278 states/eV per atom. The value obtained for the total moment is 0.00 μB per formula unit. The energy is -15.43 eV for the cell shown. Its formation enthalpy at 0 K is 150 meV per atom. The space group is F-43m.

Question: Which of these has the highest energy?
Answer: Sr2LaSb

Copy entry 3 word for word.
A plane-wave DFT calculation with PBE-GGA was carried out for a relaxed structure of CrPbS2.

```
4
Lattice="4.851 0.000 0.000 0.000 4.851 0.000 0.000 0.000 3.449" Properties=species:S:1:pos:R:3 pbc="T T T"
Cr 0.000 0.000 0.000
Pb 2.426 2.426 0.000
S 0.000 2.426 1.725
S 2.426 0.000 1.725
```

The energy relative to the elements, uncorrected comes out at 0.037 eV per atom. The density of states at the Fermi level comes out at 0.346 states/eV per atom. The value obtained for the total moment is 4.00 μB per formula unit. The energy is -21.44 eV for the cell shown. The space group is P4/mmm.